(1)
A plane-wave DFT calculation with PBE was carried out for an optimized crystal structure of Ac2ScSn2.

Cell lengths 4.733, 6.623, 6.623 Å; angles 61.33, 69.06, 69.06 degrees
Fractional coordinates of all 5 atoms:
Ac 0.798 0.702 0.702
Ac 0.202 0.298 0.298
Sc 0.000 0.000 0.000
Sn 0.500 0.733 0.267
Sn 0.500 0.267 0.733

## Properties
Magnetic moment: 0.00 μB/f.u.
Space group: Immm, No. 71
Electronic total energy: -5.151 eV per atom
Calculated volume: 166 Å³ per cell


(2)
A plane-wave DFT calculation with PBE was carried out for an optimized crystal structure of AcScSn3.

Cell lengths 4.848, 4.848, 7.381 Å; angles 109.17, 109.17, 90.00 degrees
Fractional coordinates of all 5 atoms:
Ac 0.970 0.970 0.941
Sc 0.645 0.645 0.290
Sn 0.272 0.772 0.544
Sn 0.772 0.272 0.544
Sn 0.430 0.430 0.861

## Properties
Magnetic moment: 0.00 μB/f.u.
Space group: I4mm, No. 107
Electronic total energy: -4.862 eV per atom
Calculated volume: 154 Å³ per cell


(3)
A plane-wave DFT calculation with PBE was carried out for an optimized crystal structure of Ac2ScSn.

Cell lengths 3.729, 3.729, 12.516 Å; angles 81.43, 81.43, 60.00 degrees
Fractional coordinates of all 4 atoms:
Sc 0.500 0.500 0.500
Ac 0.091 0.091 0.727
Ac 0.909 0.909 0.273
Sn 0.000 0.000 0.000

## Properties
Magnetic moment: 0.00 μB/f.u.
Space group: R-3m, No. 166
Electronic total energy: -4.453 eV per atom
Calculated volume: 148 Å³ per cell


(4)
A plane-wave DFT calculation with PBE was carried out for an optimized crystal structure of Ac2ScSn.

Cell lengths 4.918, 5.177, 5.177 Å; angles 90.00, 90.00, 90.00 degrees
Fractional coordinates of all 4 atoms:
Sc 0.500 0.500 0.500
Ac 0.000 0.000 0.500
Ac 0.000 0.500 0.000
Sn 0.500 0.000 0.000

## Properties
Magnetic moment: 0.00 μB/f.u.
Space group: P4/mmm, No. 123
Electronic total energy: -4.911 eV per atom
Calculated volume: 132 Å³ per cell


(5)
A plane-wave DFT calculation with PBE was carried out for an optimized crystal structure of Ac2ScSn.

Cell lengths 5.777, 5.777, 5.777 Å; angles 60.00, 60.00, 60.00 degrees
Fractional coordinates of all 4 atoms:
Sc 0.000 0.000 0.000
Ac 0.250 0.250 0.250
Ac 0.750 0.750 0.750
Sn 0.500 0.500 0.500

## Properties
Magnetic moment: 0.00 μB/f.u.
Space group: Fm-3m, No. 225
Electronic total energy: -4.787 eV per atom
Calculated volume: 136 Å³ per cell


(6)
A plane-wave DFT calculation with PBE was carried out for an optimized crystal structure of AcScSn.

Cell lengths 4.517, 4.982, 4.982 Å; angles 120.00, 90.00, 90.00 degrees
Fractional coordinates of all 3 atoms:
Sc 0.500 0.333 0.667
Ac 0.000 0.000 0.000
Sn 0.500 0.667 0.333

## Properties
Magnetic moment: 0.00 μB/f.u.
Space group: P-6m2, No. 187
Electronic total energy: -5.267 eV per atom
Calculated volume: 97 Å³ per cell


For reference, DFT formation energy by record: -640, -373, 185, -273, -149, -452 meV/atom.